# LaFe2Os

An optimized crystal structure of LaFe2Os (PBE, the Alexandria database).

a = 6.4537 Å, b = 6.4537 Å, c = 6.4537 Å
α = 90.00°, β = 90.00°, γ = 90.00°
With the nearest neighbours (Å) after each atom.
Space group Fm-3m (No. 225)
Symmetry-distinct sites (fractional):
La: 0.0000 0.0000 0.0000 [4 per cell]  8 Fe 2.79
Fe: 0.2500 0.2500 0.2500 [8 per cell]  4 Os 2.79, 4 La 2.79
Os: 0.0000 0.0000 0.5000 [4 per cell]  8 Fe 2.79

Calculated values
* energy above the lowest structure with this stoichiometry: 0.365 eV/atom
* E: -7.819 eV per atom
* spin magnetization: 1.3900 μB/atom
* E_form: 0.45 eV per atom
* mass density: 10.89 g/cm3